Crystalline Nb4GeSe8 at its relaxed geometry. Source: Alexandria via LeMat-Bulk, functional PBE-GGA.

The space group is C2/m (No. 12) and the conventional cell measures 28.3818, 3.5235 and 6.0513 Å, with angles of 90.00, 102.26 and 90.00 degrees. The distinct sites, in fractional coordinates, are Nb at (0.1303, 0.0000, 0.1218), Nb at (0.1301, 0.5000, 0.6394), Ge at (0.0000, 0.0000, 0.0000), Se at (0.0682, 0.0000, 0.7308), Se at (0.0699, 0.5000, 0.2397), Se at (0.1887, 0.5000, 0.3553) and Se at (0.1907, 0.0000, 0.8560).

As for the electronic total energy: -0.2346 hartree per atom. As for the total magnetization: 0.000 μB per formula unit. The uncorrected formation energy is -10.23 eV/f.u.

---

Crystalline Nb2Ge2Se at its relaxed geometry. Source: Alexandria via LeMat-Bulk, functional PBE-GGA.

The space group is P4/mbm (No. 127) and the conventional cell measures 7.1098, 7.1098 and 3.5707 Å, with angles of 90.00, 90.00 and 90.00 degrees. The distinct sites, in fractional coordinates, are Nb at (0.1620, 0.3380, 0.0000), Ge at (0.1315, 0.6315, 0.5000) and Se at (0.0000, 0.0000, 0.0000).

As for the electronic total energy: -0.2522 hartree per atom. Its energy above the most stable polymorph in this dataset is 0 meV/atom. As for the total magnetization: 0.000 μB per formula unit. The uncorrected formation energy is -1.45 eV/f.u.

---

Crystalline Nb4GeSe5 at its relaxed geometry. Source: Alexandria via LeMat-Bulk, functional PBE-GGA.

The space group is C2/m (No. 12) and the conventional cell measures 16.1540, 3.5743 and 7.6112 Å, with angles of 90.00, 100.90 and 90.00 degrees. The distinct sites, in fractional coordinates, are Nb at (0.0146, 0.0000, 0.2670), Nb at (0.1726, 0.5000, 0.5459), Ge at (0.0000, 0.5000, 0.5000), Se at (0.0000, 0.5000, 0.0000), Se at (0.1523, 0.0000, 0.7964) and Se at (0.1752, 0.0000, 0.2860).

As for the electronic total energy: -0.2504 hartree per atom. As for the total magnetization: 0.000 μB per formula unit. The uncorrected formation energy is -5.83 eV/f.u.

---

Crystalline Nb2GeSe6 at its relaxed geometry. Source: Alexandria via LeMat-Bulk, functional PBE-GGA.

The space group is C2/m (No. 12) and the conventional cell measures 13.7386, 3.3771 and 11.1186 Å, with angles of 90.00, 116.26 and 90.00 degrees. The distinct sites, in fractional coordinates, are Nb at (0.1838, 0.0000, 0.2979), Ge at (0.0000, 0.5000, 0.0000), Se at (0.0246, 0.5000, 0.2546), Se at (0.1680, 0.0000, 0.5391) and Se at (0.2183, 0.5000, 0.1412).

As for the electronic total energy: -0.2076 hartree per atom. As for the total magnetization: 0.000 μB per formula unit. The uncorrected formation energy is -5.19 eV/f.u.

---

Q: Which value of electronic total energy does entry 3 give?
A: -0.2504 hartree per atom